Ca2PPt: relaxed, PBE.

a = 7.661 Å, b = 7.661 Å, c = 6.284 Å
α = 52.44°, β = 52.44°, γ = 90.00°
Sites, in units of the cell vectors:
P 0.500 0.500 0.000
P 0.250 0.750 0.500
Ca 0.620 0.125 0.250
Ca 0.130 0.625 0.250
Ca 0.375 0.380 0.750
Ca 0.875 0.870 0.750
Pt 0.000 0.000 0.000
Pt 0.750 0.250 0.500

## Properties
polymorph energy (0 for the lowest one) = 422 meV per atom
energy of formation = -0.5676 eV per atom
space-group type = I-42d, No. 122
energy = -4.43 eV/atom
DOS(E_F) = 0.342 states/eV/atom

---

Ca2PPt: relaxed, PBE.

a = 5.403 Å, b = 5.403 Å, c = 4.341 Å
α = 89.99°, β = 89.99°, γ = 47.17°
Sites, in units of the cell vectors:
P 0.428 0.428 0.625
Ca 0.020 0.020 0.126
Ca 0.731 0.731 0.625
Pt 0.320 0.320 0.125

## Properties
polymorph energy (0 for the lowest one) = 5 meV per atom
energy of formation = -0.9847 eV per atom
space-group type = Amm2, No. 38
energy = -4.85 eV/atom
DOS(E_F) = 0.651 states/eV/atom

---

Ca2P2Pt5: relaxed, PBE.

a = 4.183 Å, b = 4.183 Å, c = 8.738 Å
α = 90.00°, β = 90.00°, γ = 90.00°
Sites, in units of the cell vectors:
Ca 0.000 0.000 0.000
Ca 0.000 0.000 0.500
P 0.500 0.500 0.129
P 0.500 0.500 0.871
Pt 0.500 0.000 0.261
Pt 0.500 0.000 0.739
Pt 0.000 0.500 0.261
Pt 0.000 0.500 0.739
Pt 0.500 0.500 0.500

## Properties
energy of formation = -0.8559 eV per atom
space-group type = P4/mmm, No. 123
energy = -5.86 eV/atom
DOS(E_F) = 0.329 states/eV/atom

---

Ca2P2Pt: relaxed, PBE.

a = 3.995 Å, b = 5.850 Å, c = 10.100 Å
α = 76.13°, β = 78.59°, γ = 70.03°
Sites, in units of the cell vectors:
Ca 0.699 0.250 0.351
Ca 0.910 0.276 0.904
Ca 0.301 0.750 0.649
Ca 0.090 0.724 0.096
P 0.042 0.333 0.583
P 0.660 0.819 0.860
P 0.958 0.667 0.417
P 0.340 0.181 0.140
Pt 0.573 0.174 0.681
Pt 0.427 0.826 0.319

## Properties
polymorph energy (0 for the lowest one) = 0 meV per atom
energy of formation = -1.0782 eV per atom
space-group type = C2/m, No. 12
energy = -5.25 eV/atom
DOS(E_F) = 0.325 states/eV/atom

---

CaP2Pt: relaxed, PBE.

a = 4.916 Å, b = 4.916 Å, c = 4.916 Å
α = 132.95°, β = 106.78°, γ = 91.72°
Sites, in units of the cell vectors:
Ca 0.250 0.750 0.500
P 0.943 0.943 0.000
P 0.557 0.557 0.000
Pt 0.750 0.250 0.500

## Properties
polymorph energy (0 for the lowest one) = 286 meV per atom
energy of formation = -0.6086 eV per atom
space-group type = Immm, No. 71
energy = -5.32 eV/atom
DOS(E_F) = 0.550 states/eV/atom

---

CaP2Pt: relaxed, PBE.

a = 3.590 Å, b = 3.589 Å, c = 5.825 Å
α = 90.00°, β = 90.00°, γ = 90.00°
Sites, in units of the cell vectors:
Ca 0.500 0.500 0.750
P 0.000 0.000 0.069
P 0.000 0.000 0.431
Pt 0.500 0.500 0.250

## Properties
polymorph energy (0 for the lowest one) = 615 meV per atom
energy of formation = -0.2795 eV per atom
space-group type = P4/mmm, No. 123
energy = -5.00 eV/atom
DOS(E_F) = 0.717 states/eV/atom

---

CaPPt2: relaxed, PBE.

a = 5.305 Å, b = 5.305 Å, c = 4.766 Å
α = 63.15°, β = 63.15°, γ = 37.00°
Sites, in units of the cell vectors:
Ca 0.250 0.250 0.250
P 0.750 0.750 0.750
Pt 0.048 0.048 0.953
Pt 0.452 0.452 0.547

## Properties
polymorph energy (0 for the lowest one) = 263 meV per atom
energy of formation = -0.5319 eV per atom
space-group type = C2/m, No. 12
energy = -5.41 eV/atom
DOS(E_F) = 0.722 states/eV/atom

---

CaP2Pt4: relaxed, PBE.

a = 3.729 Å, b = 7.874 Å, c = 7.874 Å
α = 90.00°, β = 90.00°, γ = 90.00°
Sites, in units of the cell vectors:
Ca 0.500 0.000 0.000
Ca 0.000 0.500 0.500
P 0.000 0.229 0.771
P 0.000 0.771 0.229
P 0.500 0.729 0.729
P 0.500 0.271 0.271
Pt 0.000 0.067 0.314
Pt 0.000 0.933 0.686
Pt 0.500 0.186 0.567
Pt 0.500 0.814 0.433
Pt 0.500 0.433 0.814
Pt 0.500 0.567 0.186
Pt 0.000 0.314 0.067
Pt 0.000 0.686 0.933

## Properties
energy of formation = -0.6973 eV per atom
space-group type = P4_2/mnm, No. 136
energy = -5.98 eV/atom
DOS(E_F) = 0.369 states/eV/atom

---

CaP2Pt: relaxed, PBE.

a = 4.623 Å, b = 4.623 Å, c = 4.623 Å
α = 60.00°, β = 60.00°, γ = 60.00°
Sites, in units of the cell vectors:
P 0.250 0.250 0.250
P 0.750 0.750 0.750
Ca 0.000 0.000 0.000
Pt 0.500 0.500 0.500

## Properties
polymorph energy (0 for the lowest one) = 687 meV per atom
energy of formation = -0.2071 eV per atom
space-group type = Fm-3m, No. 225
energy = -4.92 eV/atom
DOS(E_F) = 1.050 states/eV/atom

---

CaPPt2: relaxed, PBE.

a = 4.092 Å, b = 4.098 Å, c = 4.086 Å
α = 90.00°, β = 90.00°, γ = 90.00°
Sites, in units of the cell vectors:
Ca 0.500 0.000 0.500
P 0.000 0.500 0.500
Pt 0.000 0.000 0.000
Pt 0.500 0.500 0.000

## Properties
polymorph energy (0 for the lowest one) = 361 meV per atom
energy of formation = -0.4340 eV per atom
space-group type = P4/mmm, No. 123
energy = -5.31 eV/atom
DOS(E_F) = 0.795 states/eV/atom

---

CaP2Pt: relaxed, PBE.

a = 4.098 Å, b = 4.098 Å, c = 6.295 Å
α = 90.00°, β = 90.00°, γ = 121.24°
Sites, in units of the cell vectors:
Ca 0.500 0.500 0.750
P 0.000 0.000 0.055
P 0.000 0.000 0.445
Pt 0.500 0.500 0.250

## Properties
polymorph energy (0 for the lowest one) = 493 meV per atom
energy of formation = -0.4011 eV per atom
space-group type = Cmmm, No. 65
energy = -5.12 eV/atom
DOS(E_F) = 0.646 states/eV/atom

---

CaPPt2: relaxed, PBE.

a = 4.627 Å, b = 4.627 Å, c = 4.627 Å
α = 60.00°, β = 60.00°, γ = 60.00°
Sites, in units of the cell vectors:
P 0.000 0.000 0.000
Ca 0.500 0.500 0.500
Pt 0.250 0.250 0.250
Pt 0.750 0.750 0.750

## Properties
polymorph energy (0 for the lowest one) = 503 meV per atom
energy of formation = -0.2919 eV per atom
space-group type = Fm-3m, No. 225
energy = -5.17 eV/atom
DOS(E_F) = 0.442 states/eV/atom